DFT (meta-GGA SCAN) results for BeCd2P at its PBEsol-relaxed geometry.

Properties
Its crystal system is orthorhombic. As for the volume: 17.0 Å³/atom. For the energy of formation, the calculation gives 200 kJ/mol of formula units. As for the polymorph energy (0 for the lowest one): 542.5 meV per atom. Its space group is Pmmm (47).

a = 3.9873 Å, b = 4.0385 Å, c = 4.2191 Å
α = 90.00°, β = 90.00°, γ = 90.00°
Last column: nearest neighbours and their distance in Å.
Sites, in units of the cell vectors:
Be  0.0000  0.0000  0.0000  8 Cd 2.84-2.90, 4 P 2.92
Cd  0.5000  0.0000  0.5000  4 P 2.84, 4 Be 2.90, 4 Cd 2.92
Cd  0.5000  0.5000  0.0000  4 Be 2.84, 4 P 2.90, 4 Cd 2.92
P  0.0000  0.5000  0.5000  8 Cd 2.84-2.90, 4 Be 2.92